Record 1
Density functional theory data (PBEsol) for FeSi2O after structural relaxation.

a = 5.2584 Å, b = 5.2584 Å, c = 6.5659 Å
α = 90.00°, β = 90.00°, γ = 90.00°
With the nearest neighbours (Å) after each atom.
Space group I-42d (No. 122)
Inequivalent atoms, fractional coordinates:
Fe (0.0000, 0.0000, 0.0000)  4 Si 2.20
Si (0.2043, 0.2500, 0.6250)  2 O 1.89
O (0.0000, 0.0000, 0.5000)  4 Si 1.89

The final energy is -6.912 eV per atom. The calculation puts the uncorrected formation energy at -1.94 eV per formula unit. The value obtained for the density is 4683 kg/m3.

---

Record 2
Density functional theory data (PBEsol) for FeSi4O10 after structural relaxation.

a = 7.2816 Å, b = 7.2816 Å, c = 15.4729 Å
α = 90.00°, β = 90.00°, γ = 90.00°
With the nearest neighbours (Å) after each atom.
Space group P4/ncc (No. 130, origin choice 2)
Inequivalent atoms, fractional coordinates:
Fe (0.2500, 0.2500, 0.0858)  4 O 1.78
Si (0.0055, 0.0724, 0.3515)  4 O 1.62-1.63
O (0.0033, 0.7099, 0.6268)  2 Si 1.62
O (0.0265, 0.1531, 0.0911)  1 Si 1.63, 1 Fe 1.78
O (0.0381, 0.5381, 0.2500)  2 Si 1.62

The final energy is -7.963 eV per atom. The calculation puts the uncorrected formation energy at -35.00 eV per formula unit. The value obtained for the density is 2657 kg/m3.

---

Record 3
Density functional theory data (PBEsol) for Fe4Si2Sn7O16 after structural relaxation.

a = 6.8113 Å, b = 6.8113 Å, c = 9.1433 Å
α = 90.00°, β = 90.00°, γ = 120.00°
With the nearest neighbours (Å) after each atom.
Space group P-3m1 (No. 164)
Inequivalent atoms, fractional coordinates:
Fe (0.0000, 0.0000, 0.0000)  6 Sn 2.43
Fe (0.0000, 0.5000, 0.5000)  6 O 2.10-2.27
Si (0.3333, 0.6667, 0.7623)  4 O 1.62-1.65
Sn (0.0000, 0.0000, 0.5000)  6 O 2.13
Sn (0.1647, 0.3295, 0.1601)  4 O 2.03-2.22
O (0.0703, 0.5351, 0.8150)  1 Si 1.62
O (0.1577, 0.3155, 0.3872)  2 Sn 2.08-2.13, 2 Fe 2.27
O (0.3333, 0.6667, 0.1141)  3 Sn 2.03
O (0.3333, 0.6667, 0.5820)  1 Si 1.65

The final energy is -7.107 eV per atom. The calculation puts the uncorrected formation energy at -44.97 eV per formula unit. The value obtained for the density is 6177 kg/m3.

---

Record 4
Density functional theory data (PBEsol) for V2Fe3Si3O12 after structural relaxation.

a = 11.6581 Å, b = 11.6581 Å, c = 11.6581 Å
α = 90.00°, β = 90.00°, γ = 90.00°
With the nearest neighbours (Å) after each atom.
Space group Ia-3d (No. 230)
Inequivalent atoms, fractional coordinates:
V (0.0000, 0.0000, 0.0000)  6 O 1.98
Fe (0.0000, 0.2500, 0.1250)  8 O 2.25-2.33
Si (0.0000, 0.2500, 0.3750)  4 O 1.65
O (0.0347, 0.0554, 0.6565)  1 Si 1.65

The final energy is -8.278 eV per atom. The calculation puts the uncorrected formation energy at -39.17 eV per formula unit. The value obtained for the density is 4575 kg/m3.

---

Record 5
Density functional theory data (PBEsol) for ZnFeSi2O6 after structural relaxation.

a = 9.6403 Å, b = 8.8725 Å, c = 4.9722 Å
α = 90.00°, β = 102.82°, γ = 90.00°
With the nearest neighbours (Å) after each atom.
Space group C2/c (No. 15)
Inequivalent atoms, fractional coordinates:
Zn (0.0000, 0.2303, 0.2500)  4 O 1.96-2.11
Fe (0.0000, 0.4212, 0.7500)  6 O 2.11-2.13
Si (0.1972, 0.0922, 0.7725)  4 O 1.61-1.67
O (0.1162, 0.2394, 0.6259)  1 Si 1.61
O (0.1290, 0.4046, 0.1511)  1 Si 1.63
O (0.1452, 0.0548, 0.0637)  2 Si 1.67

The final energy is -7.454 eV per atom. The calculation puts the uncorrected formation energy at -21.00 eV per formula unit. The value obtained for the density is 4379 kg/m3.

---

Record 6
Density functional theory data (PBEsol) for FeSnO3 after structural relaxation.

a = 5.3636 Å, b = 7.7981 Å, c = 5.3726 Å
α = 90.00°, β = 90.00°, γ = 90.00°
With the nearest neighbours (Å) after each atom.
Space group Pnma (No. 62)
Inequivalent atoms, fractional coordinates:
Fe (0.0298, 0.2500, 0.0112)  4 O 1.99-2.12
Sn (0.0000, 0.0000, 0.5000)  6 O 2.06-2.14
O (0.0942, 0.7500, 0.6322)  2 Fe 2.03-2.12, 2 Sn 2.14
O (0.1679, 0.5714, 0.1645)  1 Fe 1.99, 2 Sn 2.06-2.09

The final energy is -7.030 eV per atom. The calculation puts the uncorrected formation energy at -6.18 eV per formula unit. The value obtained for the density is 6578 kg/m3.

---

Record 7
Density functional theory data (PBEsol) for SrFeO2 after structural relaxation.

a = 3.8293 Å, b = 3.8293 Å, c = 3.4860 Å
α = 90.00°, β = 90.00°, γ = 90.00°
With the nearest neighbours (Å) after each atom.
Space group P4/mmm (No. 123)
Inequivalent atoms, fractional coordinates:
Sr (0.0000, 0.0000, 0.0000)  8 O 2.59
Fe (0.5000, 0.5000, 0.5000)  4 O 1.91
O (0.0000, 0.5000, 0.5000)  2 Fe 1.91

The final energy is -7.296 eV per atom. The calculation puts the uncorrected formation energy at -7.88 eV per formula unit. The value obtained for the density is 5700 kg/m3.

---

Record 8
Density functional theory data (PBEsol) for Sr3Fe2O5 after structural relaxation.

a = 3.8639 Å, b = 20.5077 Å, c = 3.3970 Å
α = 90.00°, β = 90.00°, γ = 90.00°
With the nearest neighbours (Å) after each atom.
Space group Cmmm (No. 65)
Inequivalent atoms, fractional coordinates:
Sr (0.0000, 0.0000, 0.0000)  8 O 2.56-2.57
Sr (0.0000, 0.1824, 0.0000)  6 O 2.49-2.57
Fe (0.0000, 0.4065, 0.5000)  4 O 1.91-1.93
O (0.0000, 0.0937, 0.5000)  2 Fe 1.93
O (0.0000, 0.3136, 0.5000)  1 Fe 1.91
O (0.0000, 0.5000, 0.5000)  2 Fe 1.92

The final energy is -7.036 eV per atom. The calculation puts the uncorrected formation energy at -20.67 eV per formula unit. The value obtained for the density is 5608 kg/m3.

---

Record 9
Density functional theory data (PBEsol) for Sr2FeO3 after structural relaxation.

a = 3.5693 Å, b = 3.8206 Å, c = 12.4722 Å
α = 90.00°, β = 90.00°, γ = 90.00°
With the nearest neighbours (Å) after each atom.
Space group Immm (No. 71)
Inequivalent atoms, fractional coordinates:
Sr (0.0000, 0.0000, 0.1453)  7 O 2.51-2.62
Fe (0.0000, 0.0000, 0.5000)  4 O 1.91
O (0.0000, 0.0000, 0.3467)  1 Fe 1.91
O (0.0000, 0.5000, 0.5000)  2 Fe 1.91

The final energy is -6.985 eV per atom. The calculation puts the uncorrected formation energy at -13.52 eV per formula unit. The value obtained for the density is 5449 kg/m3.

---

Record 10
Density functional theory data (PBEsol) for Sr2Fe2O5 after structural relaxation.

a = 7.5451 Å, b = 7.6167 Å, c = 16.2137 Å
α = 90.00°, β = 90.00°, γ = 90.00°
With the nearest neighbours (Å) after each atom.
Space group Fmmm (No. 69)
Inequivalent atoms, fractional coordinates:
Sr (0.0000, 0.2406, 0.1406)  7 O 2.36-2.61
Fe (0.1852, 0.0000, 0.5000)  4 O 1.86-1.94
Fe (0.2500, 0.0000, 0.2500)  4 O 1.89-1.90
O (0.0000, 0.0000, 0.2547)  2 Fe 1.89
O (0.0000, 0.1773, 0.5000)  2 Fe 1.94
O (0.2356, 0.0000, 0.1083)  1 Fe 1.86
O (0.2500, 0.2500, 0.2500)  2 Fe 1.90

The final energy is -7.338 eV per atom. The calculation puts the uncorrected formation energy at -18.18 eV per formula unit. The value obtained for the density is 5231 kg/m3.

---

Record 11
Density functional theory data (PBEsol) for Sr2FeO4 after structural relaxation.

a = 3.8056 Å, b = 3.8056 Å, c = 12.2758 Å
α = 90.00°, β = 90.00°, γ = 90.00°
With the nearest neighbours (Å) after each atom.
Space group I4/mmm (No. 139)
Inequivalent atoms, fractional coordinates:
Sr (0.0000, 0.0000, 0.1421)  9 O 2.48-2.70
Fe (0.0000, 0.0000, 0.5000)  6 O 1.90-1.91
O (0.0000, 0.0000, 0.3444)  1 Fe 1.91
O (0.0000, 0.5000, 0.0000)  2 Fe 1.90

The final energy is -7.110 eV per atom. The calculation puts the uncorrected formation energy at -16.13 eV per formula unit. The value obtained for the density is 5512 kg/m3.

---

Record 12
Density functional theory data (PBEsol) for Sr3Fe2O6 after structural relaxation.

a = 3.8263 Å, b = 3.8263 Å, c = 19.9266 Å
α = 90.00°, β = 90.00°, γ = 90.00°
With the nearest neighbours (Å) after each atom.
Space group I4/mmm (No. 139)
Inequivalent atoms, fractional coordinates:
Sr (0.0000, 0.0000, 0.0000)  8 O 2.56
Sr (0.0000, 0.0000, 0.1808)  9 O 2.46-2.72
Fe (0.0000, 0.0000, 0.4009)  5 O 1.93
O (0.0000, 0.0000, 0.3043)  1 Fe 1.93
O (0.0000, 0.5000, 0.0855)  2 Fe 1.93

The final energy is -7.181 eV per atom. The calculation puts the uncorrected formation energy at -24.04 eV per formula unit. The value obtained for the density is 5357 kg/m3.